ZnFe2O4 (GGA+U, optimized geometry); space group = P1, No. 1; M_tot = 4.5 μB per formula unit; E_tot = -5.693 eV/atom; calculated density = 5.004 g/cm3
1.0
5.0648 0.0360 0.6160
0.0505 5.9558 -0.1613
1.2968 -0.2578 10.7743
O Zn Fe
16 4 8
Direct
0.7841 0.7786 0.0899 O
0.5855 0.9811 0.5939 O
0.2385 0.7547 0.8927 O
0.3786 0.9499 0.3678 O
0.8396 0.2157 0.4119 O
0.7176 0.0259 0.9016 O
0.6170 0.5351 0.5951 O
0.0926 0.2407 0.6059 O
0.7192 0.4887 0.9062 O
0.3738 0.4527 0.4037 O
0.1419 0.7532 0.5864 O
0.1973 0.2580 0.9134 O
0.8962 0.7285 0.3906 O
0.2857 0.0079 0.0980 O
0.7520 0.2730 0.1118 O
0.2857 0.5434 0.0986 O
0.6089 0.1877 0.2775 Zn
0.9341 0.2489 0.7852 Zn
0.2042 0.7796 0.2400 Zn
0.3842 0.7760 0.7205 Zn
0.4897 0.2663 0.0098 Fe
0.9911 0.9823 0.4993 Fe
0.9927 0.5182 0.0088 Fe
0.4807 0.2501 0.5276 Fe
0.9935 0.4902 0.4978 Fe
0.5068 0.7342 0.4727 Fe
0.9967 0.0139 0.0039 Fe
0.5122 0.7657 0.9894 Fe